Sc2CrCo | the Alexandria database | PBE | optimized geometry; formation energy = 0.3050 eV/atom; magnetization = 10.7 Bohr magnetons per cell
1.0
3.124 0.000 0.000
-1.562 2.705 0.000
0.000 0.000 25.085
Sc Cr Co
6 3 3
direct
0.000 0.000 0.241
0.000 0.000 0.759
0.333 0.667 0.425
0.333 0.667 0.908
0.667 0.333 0.092
0.667 0.333 0.575
0.000 0.000 0.000
0.333 0.667 0.667
0.667 0.333 0.333
0.000 0.000 0.500
0.333 0.667 0.167
0.667 0.333 0.833